1.
The following is a DFT calculation (PBE) of crystalline Ho2ErAs at its relaxed geometry.

```
Ho2ErAs
1.0
3.757 0.000 0.000
1.879 3.254 0.000
1.879 1.085 10.236
As Ho Er
1 2 1
direct
0.500 0.500 0.500
0.111 0.111 0.668
0.889 0.889 0.332
0.000 0.000 0.000
```

Calculated values
- total magnetization (μB per formula unit) = 0.71
- electronic total energy (eV per atom) = -4.95
- DOS at the Fermi energy (states/eV/f.u.) = 4.7
- symmetry = R-3m (166)
- calculated formation energy (kJ/mol of atoms) = -34

=====

2.
The following is a DFT calculation (PBE) of crystalline CaP2Se at its relaxed geometry.

```
CaP2Se
1.0
6.043 -0.016 -0.071
4.917 3.513 -0.071
-1.219 -0.389 4.282
Ca P Se
1 2 1
direct
0.250 0.250 0.250
0.986 0.986 0.085
0.514 0.514 0.415
0.750 0.750 0.750
```

Calculated values
- total magnetization (μB per formula unit) = 0.00
- electronic total energy (eV per atom) = -4.70
- DOS at the Fermi energy (states/eV/f.u.) = 0.5
- symmetry = C2/m (12)

=====

3.
The following is a DFT calculation (PBE) of crystalline VFeSn2 at its relaxed geometry.

```
VFeSn2
1.0
-2.775 -3.621 0.258
-4.521 0.602 0.271
-2.666 -1.092 -3.546
Fe Sn V
1 2 1
direct
0.500 0.500 0.500
0.250 0.250 0.250
0.750 0.750 0.750
0.000 0.000 0.000
```

Calculated values
- total magnetization (μB per formula unit) = 2.78
- electronic total energy (eV per atom) = -6.13
- DOS at the Fermi energy (states/eV/f.u.) = 1.8
- symmetry = Fm-3m (225)
- calculated formation energy (kJ/mol of atoms) = 26

=====

4.
The following is a DFT calculation (PBE) of crystalline CaCuRh2 at its relaxed geometry.

```
CaCuRh2
1.0
4.607 0.000 0.000
0.000 2.952 -0.309
0.000 0.496 4.720
Ca Rh Cu
1 2 1
direct
0.000 0.375 0.560
0.000 0.875 0.058
0.500 0.375 0.167
0.500 0.875 0.715
```

Calculated values
- total magnetization (μB per formula unit) = 0.00
- electronic total energy (eV per atom) = -5.23
- DOS at the Fermi energy (states/eV/f.u.) = 2.9
- symmetry = Pmm2 (25)
- calculated formation energy (kJ/mol of atoms) = -3

=====

5.
The following is a DFT calculation (PBE) of crystalline Pr2YTmP4 at its relaxed geometry.

```
Pr2YTmP4
1.0
4.097 0.000 0.000
0.000 7.092 0.124
0.000 -2.479 6.637
Pr Y Tm P
2 1 1 4
direct
0.500 0.000 0.500
0.000 0.500 0.500
0.000 0.000 0.000
0.500 0.500 0.000
0.500 0.248 0.237
0.500 0.752 0.763
0.000 0.257 0.764
0.000 0.743 0.236
```

Calculated values
- total magnetization (μB per formula unit) = 0.00
- electronic total energy (eV per atom) = -6.82
- DOS at the Fermi energy (states/eV/f.u.) = 0.8
- symmetry = P2/m (10)
- calculated formation energy (kJ/mol of atoms) = -150

=====

6.
The following is a DFT calculation (PBE) of crystalline SmEuNiAg at its relaxed geometry.

```
SmEuNiAg
1.0
5.117 0.000 0.000
2.559 4.432 0.000
2.559 1.477 4.178
Eu Ni Ag Sm
1 1 1 1
direct
0.750 0.750 0.750
0.500 0.500 0.500
0.000 0.000 0.000
0.250 0.250 0.250
```

Calculated values
- total magnetization (μB per formula unit) = 7.08
- electronic total energy (eV per atom) = -6.07
- DOS at the Fermi energy (states/eV/f.u.) = 8.6
- symmetry = F-43m (216)
- calculated formation energy (kJ/mol of atoms) = -16

=====

7.
The following is a DFT calculation (PBE) of crystalline Dy6HoSc12 at its relaxed geometry.

```
Dy6HoSc12
1.0
-3.365 -1.556 -7.454
7.985 -1.665 -1.665
-2.109 -6.988 4.003
Dy Ho Sc
6 1 12
direct
0.741 0.219 0.219
0.219 0.219 0.741
0.219 0.741 0.219
0.781 0.781 0.259
0.259 0.781 0.781
0.781 0.259 0.781
0.000 0.000 0.000
0.885 0.115 0.500
0.832 0.542 0.542
0.542 0.542 0.832
0.458 0.168 0.458
0.458 0.458 0.168
0.168 0.458 0.458
0.115 0.500 0.885
0.500 0.885 0.115
0.115 0.885 0.500
0.885 0.500 0.115
0.500 0.115 0.885
0.542 0.832 0.542
```

Calculated values
- total magnetization (μB per formula unit) = 0.42
- electronic total energy (eV per atom) = -5.18
- DOS at the Fermi energy (states/eV/f.u.) = 28.4
- symmetry = R-3m (166)
- calculated formation energy (kJ/mol of atoms) = 49

=====

8.
The following is a DFT calculation (PBE) of crystalline Co2RePt at its relaxed geometry.

```
Co2RePt
1.0
4.236 0.000 0.000
2.118 3.669 0.000
2.118 1.223 3.459
Co Pt Re
2 1 1
direct
0.000 0.000 0.000
0.250 0.250 0.250
0.500 0.500 0.500
0.750 0.750 0.750
```

Calculated values
- total magnetization (μB per formula unit) = 2.76
- electronic total energy (eV per atom) = -7.88
- DOS at the Fermi energy (states/eV/f.u.) = 4.9
- symmetry = F-43m (216)
- calculated formation energy (kJ/mol of atoms) = 29

=====

9.
The following is a DFT calculation (PBE) of crystalline Ce2PrIr at its relaxed geometry.

```
Ce2PrIr
1.0
-4.996 -0.223 -3.713
3.104 -8.506 -3.665
-7.331 -7.109 10.290
Ce Pr Ir
16 8 8
direct
0.064 0.061 0.213
0.564 0.939 0.287
0.936 0.561 0.787
0.436 0.439 0.713
0.936 0.939 0.787
0.436 0.061 0.713
0.064 0.439 0.213
0.564 0.561 0.287
0.755 0.557 0.036
0.255 0.443 0.464
0.245 0.057 0.964
0.745 0.943 0.536
0.245 0.443 0.964
0.745 0.557 0.536
0.755 0.943 0.036
0.255 0.057 0.464
0.546 0.250 0.142
0.046 0.750 0.358
0.454 0.750 0.858
0.954 0.250 0.642
0.765 0.250 0.395
0.265 0.750 0.105
0.235 0.750 0.605
0.735 0.250 0.895
0.270 0.250 0.324
0.770 0.750 0.176
0.730 0.750 0.676
0.230 0.250 0.824
0.028 0.250 0.071
0.528 0.750 0.429
0.972 0.750 0.929
0.472 0.250 0.571
```

Calculated values
- total magnetization (μB per formula unit) = 0.78
- electronic total energy (eV per atom) = -6.79
- DOS at the Fermi energy (states/eV/f.u.) = 9.5
- symmetry = Pnma (62)
- calculated formation energy (kJ/mol of atoms) = -40

=====

10.
The following is a DFT calculation (PBE) of crystalline Zn2SiAu at its relaxed geometry.

```
Zn2SiAu
1.0
4.943 0.051 0.000
1.706 4.640 0.000
-3.325 -2.345 2.808
Au Si Zn
1 1 2
direct
0.500 0.500 0.000
0.750 0.250 0.500
0.000 0.000 0.000
0.250 0.750 0.500
```

Calculated values
- total magnetization (μB per formula unit) = 0.00
- electronic total energy (eV per atom) = -2.70
- DOS at the Fermi energy (states/eV/f.u.) = 1.0
- symmetry = I-4m2 (119)

=====

11.
The following is a DFT calculation (PBE) of crystalline SmGe12Ir4 at its relaxed geometry.

```
SmGe12Ir4
1.0
-0.023 -1.726 7.322
-4.675 -4.607 -3.677
6.963 -0.784 -2.740
Sm Ge Ir
1 12 4
direct
0.000 0.000 0.000
0.847 0.348 0.196
0.348 0.501 0.153
0.804 0.153 0.652
0.348 0.196 0.847
0.196 0.847 0.348
0.652 0.499 0.847
0.501 0.153 0.348
0.499 0.847 0.652
0.652 0.804 0.153
0.847 0.652 0.499
0.153 0.348 0.501
0.153 0.652 0.804
0.000 0.500 0.000
0.500 0.000 0.000
0.500 0.500 0.500
0.000 0.000 0.500
```

Calculated values
- total magnetization (μB per formula unit) = 0.00
- electronic total energy (eV per atom) = -5.85
- DOS at the Fermi energy (states/eV/f.u.) = 10.2
- symmetry = Im-3 (204)
- calculated formation energy (kJ/mol of atoms) = -22

=====

12.
The following is a DFT calculation (PBE) of crystalline CdNiCl2 at its relaxed geometry.

```
CdNiCl2
1.0
-2.509 -3.973 0.490
-3.140 -0.394 3.509
-4.626 -0.006 -0.959
Ni Cl Cd
1 2 1
direct
0.000 0.000 0.000
0.250 0.250 0.250
0.750 0.750 0.750
0.500 0.500 0.500
```

Calculated values
- total magnetization (μB per formula unit) = 0.16
- electronic total energy (eV per atom) = -2.50
- DOS at the Fermi energy (states/eV/f.u.) = 4.9
- symmetry = Fm-3m (225)

=====

13.
The following is a DFT calculation (PBE) of crystalline Ac2ThReN5 at its relaxed geometry.

```
Ac2ThReN5
1.0
6.210 0.000 0.000
0.000 6.931 0.000
0.000 0.000 6.931
Ac Th Re N
4 2 2 10
direct
0.500 0.668 0.168
0.500 0.168 0.332
0.500 0.832 0.668
0.500 0.332 0.832
0.000 0.500 0.500
0.000 0.000 0.000
0.000 0.000 0.500
0.000 0.500 0.000
0.500 0.500 0.500
0.500 0.000 0.000
0.213 0.143 0.643
0.213 0.857 0.357
0.213 0.357 0.143
0.213 0.643 0.857
0.787 0.143 0.643
0.787 0.643 0.857
0.787 0.857 0.357
0.787 0.357 0.143
```

Calculated values
- total magnetization (μB per formula unit) = 0.00
- electronic total energy (eV per atom) = -8.41
- DOS at the Fermi energy (states/eV/f.u.) = 0.5
- symmetry = P4/mbm (127)

=====

14.
The following is a DFT calculation (PBE) of crystalline RbPuVCl6 at its relaxed geometry.

```
RbPuVCl6
1.0
-4.794 -0.201 4.791
5.756 -3.490 0.815
6.148 11.693 6.641
Rb Pu V Cl
2 2 2 12
direct
0.000 0.000 0.000
0.000 0.000 0.500
0.333 0.667 0.250
0.667 0.333 0.750
0.667 0.333 0.250
0.333 0.667 0.750
0.651 0.620 0.151
0.969 0.349 0.151
0.349 0.969 0.651
0.031 0.651 0.849
0.380 0.349 0.349
0.969 0.620 0.349
0.620 0.969 0.849
0.651 0.031 0.349
0.031 0.380 0.651
0.380 0.031 0.151
0.620 0.651 0.651
0.349 0.380 0.849
```

Calculated values
- total magnetization (μB per formula unit) = 8.00
- electronic total energy (eV per atom) = -5.64
- DOS at the Fermi energy (states/eV/f.u.) = 13.5
- symmetry = P-31c (163)

=====

15.
The following is a DFT calculation (PBE) of crystalline CdHg4As at its relaxed geometry.

```
CdHg4As
1.0
0.000 4.237 4.237
4.237 0.000 4.237
4.237 4.237 0.000
Cd Hg As
1 4 1
direct
0.000 0.000 0.000
0.874 0.375 0.375
0.375 0.375 0.874
0.375 0.874 0.375
0.375 0.375 0.375
0.750 0.750 0.750
```

Calculated values
- total magnetization (μB per formula unit) = 0.00
- electronic total energy (eV per atom) = -0.76
- DOS at the Fermi energy (states/eV/f.u.) = 4.0
- symmetry = F-43m (216)
- calculated formation energy (kJ/mol of atoms) = 35

=====

16.
The following is a DFT calculation (PBE) of crystalline NaMgSe2N at its relaxed geometry.

```
NaMgSe2N
1.0
5.278 0.000 0.000
0.000 5.278 0.000
0.000 0.000 4.171
Na Mg Se N
1 1 2 1
direct
0.500 0.500 0.500
0.000 0.000 0.000
0.000 0.500 0.000
0.500 0.000 0.000
0.000 0.000 0.500
```

Calculated values
- total magnetization (μB per formula unit) = 3.61
- electronic total energy (eV per atom) = -3.39
- DOS at the Fermi energy (states/eV/f.u.) = 3.7
- symmetry = P4/mmm (123)